Entry from the Alexandria database: a relaxed structure of SbWSe2 (GGA-PBE).

Cell lengths 7.0511, 7.0511, 7.0511 Å; angles 153.85, 143.50, 45.45 degrees
Atoms (fractional coordinates):
Sb 0.3318 0.8318 0.5000
Se 0.9770 0.9770 0.0000
Se 0.6701 0.1701 0.5000
W 0.5211 0.5211 0.0000

Calculated values
As for the energy: -5.792 eV per atom. The total magnetization comes out at 0.00 μB per cell. Its symmetry is Imm2. As for the formation energy from raw total energies: 0.2188 eV/atom.



Entry from the Alexandria database: a relaxed structure of TbYNO (GGA-PBE).

Cell lengths 3.4450, 3.4450, 6.0158 Å; angles 73.36, 73.36, 60.00 degrees
Atoms (fractional coordinates):
Tb 0.9965 0.9965 0.0104
Y 0.5034 0.5034 0.4897
N 0.2495 0.2495 0.2514
O 0.7505 0.7505 0.7485

Calculated values
As for the energy: -8.438 eV per atom. The total magnetization comes out at 0.00 μB per cell. Its symmetry is R3m. As for the formation energy from raw total energies: -2.3433 eV/atom.



Entry from the Alexandria database: a relaxed structure of AsPAu (GGA-PBE).

Cell lengths 5.0356, 5.0356, 4.9528 Å; angles 90.00, 90.00, 113.83 degrees
Atoms (fractional coordinates):
As 0.4113 0.5887 0.2500
As 0.5887 0.4113 0.7500
P 0.0000 0.0000 0.0000
P 0.0000 0.0000 0.5000
Au 0.2762 0.7238 0.7500
Au 0.7238 0.2762 0.2500

Calculated values
The excess energy over the best structure of this formula in the dataset comes out at 120 meV/atom. As for the energy: -3.987 eV per atom. The total magnetization comes out at 0.00 μB per cell. As for the formation energy from the elements: 1.4 eV/f.u. Its symmetry is Cmcm.



Entry from the Alexandria database: a relaxed structure of BeReAg2 (GGA-PBE).

Cell lengths 4.3749, 2.6813, 5.2242 Å; angles 75.60, 90.00, 90.00 degrees
Atoms (fractional coordinates):
Re 0.5000 0.7500 0.7500
Ag 0.0000 0.1022 0.0128
Ag 0.0000 0.3978 0.4872
Be 0.5000 0.2500 0.2500

Calculated values
As for the energy: -4.854 eV per atom. The total magnetization comes out at 0.00 μB per cell. As for the formation energy from the elements: 2.5 eV/f.u. Its symmetry is P2/m.



Entry from the Alexandria database: a relaxed structure of CaNiWSe2 (GGA-PBE).

Cell lengths 4.7491, 5.8825, 4.7491 Å; angles 90.00, 90.00, 90.00 degrees
Atoms (fractional coordinates):
Ni 0.5000 0.5000 0.5000
Ca 0.0000 0.5000 0.0000
Se 0.0000 0.0000 0.5000
Se 0.5000 0.0000 0.0000
W 0.0000 0.0000 0.0000

Calculated values
As for the energy: -4.849 eV per atom. The total magnetization comes out at 0.12 μB per cell. Its symmetry is P4/mmm. As for the formation energy from raw total energies: 0.6925 eV/atom.



Entry from the Alexandria database: a relaxed structure of NdSmHo2 (GGA-PBE).

Cell lengths 3.5921, 3.5921, 11.8312 Å; angles 81.27, 81.27, 60.00 degrees
Atoms (fractional coordinates):
Nd 0.0000 0.0000 0.0000
Ho 0.7504 0.7504 0.7487
Ho 0.2496 0.2496 0.2513
Sm 0.5000 0.5000 0.5000

Calculated values
The excess energy over the best structure of this formula in the dataset comes out at 0 meV/atom. As for the energy: -4.646 eV per atom. The total magnetization comes out at 0.00 μB per cell. As for the formation energy from the elements: 0.1 eV/f.u. Its symmetry is R-3m.



Entry from the Alexandria database: a relaxed structure of Pr4NiSn8 (GGA-PBE).

Cell lengths 4.4913, 4.5611, 17.2658 Å; angles 90.00, 90.00, 90.00 degrees
Atoms (fractional coordinates):
Pr 0.0000 0.0000 0.0994
Pr 0.0000 0.5000 0.6036
Pr 0.5000 0.5000 0.3966
Pr 0.5000 0.0000 0.8989
Ni 0.0000 0.0000 0.3089
Sn 0.0000 0.0000 0.4544
Sn 0.0000 0.5000 0.9367
Sn 0.5000 0.5000 0.0547
Sn 0.5000 0.0000 0.5673
Sn 0.0000 0.5000 0.2400
Sn 0.0000 0.0000 0.7496
Sn 0.5000 0.0000 0.2394
Sn 0.5000 0.5000 0.7534

Calculated values
As for the energy: -5.014 eV per atom. The total magnetization comes out at 0.00 μB per cell. As for the formation energy from the elements: -8.3 eV/f.u. Its symmetry is Pmm2.



Entry from the Alexandria database: a relaxed structure of AcThBi6 (GGA-PBE).

Cell lengths 4.8127, 4.7386, 12.0904 Å; angles 90.00, 101.48, 90.00 degrees
Atoms (fractional coordinates):
Ac 0.8242 0.0000 0.6485
Th 0.1707 0.5000 0.3414
Bi 0.5629 0.5000 0.1258
Bi 0.4515 0.0000 0.9030
Bi 0.3099 0.5000 0.6197
Bi 0.6815 0.0000 0.3631
Bi 0.9359 0.5000 0.8717
Bi 0.0634 0.0000 0.1268

Calculated values
As for the energy: -4.689 eV per atom. The total magnetization comes out at 0.00 μB per cell. As for the formation energy from the elements: -2.7 eV/f.u. Its symmetry is Amm2.



Entry from the Alexandria database: a relaxed structure of TbCuBiRh (GGA-PBE).

Cell lengths 4.8292, 4.8292, 4.8292 Å; angles 60.00, 60.00, 60.00 degrees
Atoms (fractional coordinates):
Rh 0.7500 0.7500 0.7500
Tb 0.0000 0.0000 0.0000
Bi 0.5000 0.5000 0.5000
Cu 0.2500 0.2500 0.2500

Calculated values
As for the energy: -5.379 eV per atom. The total magnetization comes out at 0.00 μB per cell. As for the formation energy from the elements: -1.6 eV/f.u. Its symmetry is F-43m.



Entry from the Alexandria database: a relaxed structure of SrYTe (GGA-PBE).

Cell lengths 5.2395, 5.2395, 4.6339 Å; angles 90.00, 90.00, 120.00 degrees
Atoms (fractional coordinates):
Sr 0.0000 0.0000 0.0002
Te 0.6667 0.3333 0.4997
Y 0.3333 0.6667 0.5001

Calculated values
The excess energy over the best structure of this formula in the dataset comes out at 217 meV/atom. As for the energy: -4.362 eV per atom. The total magnetization comes out at 0.16 μB per cell. Its symmetry is P-6m2. As for the formation energy from raw total energies: -0.5997 eV/atom.



Entry from the Alexandria database: a relaxed structure of Al5Zn2Ga4 (GGA-PBE).

Cell lengths 2.8220, 5.0424, 14.5800 Å; angles 73.39, 91.73, 76.42 degrees
Atoms (fractional coordinates):
Al 0.4646 0.1942 0.6458
Al 0.2265 0.6754 0.7259
Al 0.7735 0.3246 0.2741
Al 0.5354 0.8058 0.3542
Al 0.5000 0.0000 0.0000
Zn 0.9716 0.1717 0.8177
Zn 0.0284 0.8283 0.1823
Ga 0.8351 0.3995 0.0863
Ga 0.3072 0.2852 0.4474
Ga 0.1649 0.6005 0.9137
Ga 0.6928 0.7148 0.5526

Calculated values
As for the energy: -2.987 eV per atom. The total magnetization comes out at 0.00 μB per cell. As for the formation energy from the elements: 0.5 eV/f.u. Its symmetry is P-1.